(1)
The following is a DFT calculation (PBE) of YTcPCN after structural relaxation.

## Properties
VASP energy in eV/cell: -82.3

Cell: 6.659 3.619 6.513 Å, 90.00 102.93 90.00°
Fractional positions:
N1 0.113 0.500 0.562
N2 0.113 0.000 0.062
Y1 0.972 0.500 0.854
Y2 0.972 0.000 0.354
C1 0.588 0.000 0.260
C2 0.588 0.500 0.760
Tc1 0.580 0.500 0.068
Tc2 0.580 0.000 0.568
P1 0.356 0.500 0.542
P2 0.356 0.000 0.042

***

(2)
The following is a DFT calculation (PBE) of YTcPCN after structural relaxation.

## Properties
VASP energy in eV/cell: -41.1

Cell: 3.087 3.512 6.241 Å, 90.00 89.99 90.00°
Fractional positions:
Tc1 0.244 0.160 0.656
Y1 0.744 0.660 0.044
P1 0.744 0.660 0.548
C1 0.244 0.660 0.388
N1 0.243 0.160 0.974

***

(3)
The following is a DFT calculation (PBE) of YTcPCN after structural relaxation.

## Properties
VASP energy in eV/cell: -82.6

Cell: 3.917 3.333 11.639 Å, 90.00 100.45 90.00°
Fractional positions:
P1 0.159 0.000 0.785
P2 0.159 0.500 0.285
Tc1 0.777 0.000 0.179
Tc2 0.777 0.500 0.679
N1 0.763 0.000 0.017
N2 0.763 0.500 0.517
Y1 0.206 0.000 0.497
Y2 0.206 0.500 0.997
C1 0.533 0.500 0.217
C2 0.533 0.000 0.717

***

(4)
The following is a DFT calculation (PBE) of YTcPCN after structural relaxation.

## Properties
VASP energy in eV/cell: -81.2

Cell: 6.087 2.992 7.628 Å, 90.00 105.31 90.00°
Fractional positions:
N1 0.097 0.500 0.505
N2 0.097 0.000 0.005
C1 0.400 0.500 0.295
C2 0.400 0.000 0.795
P1 0.581 0.000 0.267
P2 0.581 0.500 0.767
Tc1 0.339 0.000 0.501
Tc2 0.339 0.500 0.001
Y1 0.974 0.000 0.693
Y2 0.974 0.500 0.193

***

(5)
The following is a DFT calculation (PBE) of YTcPCN after structural relaxation.

## Properties
VASP energy in eV/cell: -41.4

Cell: 3.813 3.844 5.246 Å, 109.10 97.25 98.37°
Fractional positions:
N1 0.071 0.249 0.952
P1 0.110 0.034 0.615
Y1 0.689 0.694 0.986
Tc1 0.235 0.435 0.379
C1 0.759 0.633 0.458

***

(6)
The following is a DFT calculation (PBE) of YTcPCN after structural relaxation.

## Properties
VASP energy in eV/cell: -82.7

Cell: 4.203 3.171 10.100 Å, 90.00 105.19 90.00°
Fractional positions:
C1 0.159 0.500 0.737
C2 0.159 0.000 0.237
Tc1 0.484 0.000 0.821
Tc2 0.484 0.500 0.321
Y1 0.117 0.500 0.011
Y2 0.117 0.000 0.511
N1 0.563 0.500 0.531
N2 0.563 0.000 0.031
P1 0.723 0.000 0.205
P2 0.723 0.500 0.705

***

(7)
The following is a DFT calculation (PBE) of YTcPCN after structural relaxation.

## Properties
VASP energy in eV/cell: -41.7

Cell: 3.609 3.724 6.128 Å, 84.02 77.87 66.08°
Fractional positions:
Y1 0.990 0.530 0.950
C1 0.315 0.046 0.272
N1 0.284 0.868 0.109
P1 0.770 0.193 0.628
Tc1 0.215 0.525 0.432

***

(8)
The following is a DFT calculation (PBE) of YTcPCN after structural relaxation.

## Properties
VASP energy in eV/cell: -41.0

Cell: 2.986 3.794 6.488 Å, 97.83 92.03 106.11°
Fractional positions:
C1 0.720 0.765 0.614
P1 0.258 0.902 0.479
N1 0.940 0.266 0.070
Tc1 0.529 0.395 0.303
Y1 0.253 0.798 0.925

***

| no. | formation energy without anion corrections (meV/atom) |
| --- | --- |
| 1 | -277 |
| 2 | -267 |
| 3 | -306 |
| 4 | -163 |
| 5 | -329 |
| 6 | -313 |
| 7 | -380 |
| 8 | -238 |